i:
Entry from Alexandria: an optimized crystal structure of Ta2NF (PBE-GGA).

a = 5.734 Å, b = 5.734 Å, c = 5.734 Å
α = 90.00°, β = 90.00°, γ = 90.00°
Space group Fm-3m (No. 225)
Inequivalent atoms, fractional coordinates:
Ta1 0.250 0.250 0.250 x8
N1 0.000 0.000 0.000 x4
F1 0.000 0.000 0.500 x4

Output
For the total magnetization, the calculation gives 0.00 μB/atom.

ii:
Entry from Alexandria: an optimized crystal structure of Ta2NF (PBE-GGA).

a = 5.110 Å, b = 5.110 Å, c = 9.172 Å
α = 90.00°, β = 90.00°, γ = 90.00°
Space group I-42d (No. 122)
Inequivalent atoms, fractional coordinates:
Ta1 0.198 0.250 0.125 x8
N1 0.000 0.000 0.000 x4
F1 0.000 0.000 0.500 x4

Output
For the total magnetization, the calculation gives 0.00 μB/atom.

Result of the stability comparison: ii is the most stable of them.

i:
Entry from Alexandria: an optimized crystal structure of TaNF2 (PBE-GGA).

a = 5.294 Å, b = 5.294 Å, c = 5.294 Å
α = 90.00°, β = 90.00°, γ = 90.00°
Space group Fm-3m (No. 225)
Inequivalent atoms, fractional coordinates:
Ta1 0.000 0.000 0.000 x4
N1 0.000 0.000 0.500 x4
F1 0.250 0.250 0.250 x8

Output
For the total magnetization, the calculation gives 0.00 μB/atom.

ii:
Entry from Alexandria: an optimized crystal structure of TaNF2 (PBE-GGA).

a = 3.1141 Å, b = 3.1141 Å, c = 27.5072 Å
α = 90.00°, β = 90.00°, γ = 120.00°
Space group R-3m (No. 166, hexagonal axes)
Inequivalent atoms, fractional coordinates:
Ta1 0.0000 0.0000 0.0000 x3
N1 0.0000 0.0000 0.5000 x3
F1 0.0000 0.0000 0.0680 x6

Output
For the total magnetization, the calculation gives 0.74 μB/atom.

Result of the stability comparison: i is the most stable of them.

i:
Entry from Alexandria: an optimized crystal structure of TaN2F (PBE-GGA).

a = 5.276 Å, b = 5.276 Å, c = 5.276 Å
α = 90.00°, β = 90.00°, γ = 90.00°
Space group Fm-3m (No. 225)
Inequivalent atoms, fractional coordinates:
Ta1 0.000 0.000 0.000 x4
N1 0.250 0.250 0.250 x8
F1 0.000 0.000 0.500 x4

Output
For the total magnetization, the calculation gives 0.00 μB/atom.

ii:
Entry from Alexandria: an optimized crystal structure of TaN2F (PBE-GGA).

a = 5.426 Å, b = 5.426 Å, c = 9.512 Å
α = 90.00°, β = 90.00°, γ = 90.00°
Space group I-42d (No. 122)
Inequivalent atoms, fractional coordinates:
Ta1 0.000 0.000 0.000 x4
N1 0.126 0.250 0.125 x8
F1 0.000 0.000 0.500 x4

Output
For the total magnetization, the calculation gives 0.50 μB/atom.

iii:
Entry from Alexandria: an optimized crystal structure of TaN2F (PBE-GGA).

a = 3.1780 Å, b = 3.1780 Å, c = 17.0864 Å
α = 90.00°, β = 90.00°, γ = 120.00°
Space group R-3m (No. 166, hexagonal axes)
Inequivalent atoms, fractional coordinates:
Ta1 0.0000 0.0000 0.0000 x3
N1 0.0000 0.0000 0.3935 x6
F1 0.0000 0.0000 0.5000 x3

Output
For the total magnetization, the calculation gives 0.00 μB/atom.

Result of the stability comparison: iii is the most stable of them.

i:
Entry from Alexandria: an optimized crystal structure of TaNF6 (PBE-GGA).

a = 7.0724 Å, b = 7.0724 Å, c = 8.4381 Å
α = 90.00°, β = 90.00°, γ = 120.00°
Space group R-3 (No. 148, hexagonal axes)
Inequivalent atoms, fractional coordinates:
Ta1 0.0000 0.0000 0.0000 x3
N1 0.0000 0.0000 0.5000 x3
F1 0.0798 0.2503 0.1329 x18

Output
For the total magnetization, the calculation gives 0.25 μB/atom.

ii:
Entry from Alexandria: an optimized crystal structure of TaNF6 (PBE-GGA).

a = 5.328 Å, b = 5.423 Å, c = 5.650 Å
α = 77.38°, β = 66.08°, γ = 61.11°
Space group P-1 (No. 2)
Inequivalent atoms, fractional coordinates:
Ta1 0.000 0.000 0.000 x1
N1 0.000 0.500 0.500 x1
F1 0.111 0.297 0.767 x2
F2 0.199 0.003 0.211 x2
F3 0.372 0.715 0.797 x2

Output
For the total magnetization, the calculation gives 0.25 μB/atom.

Result of the stability comparison: ii is the most stable of them.

i:
Entry from Alexandria: an optimized crystal structure of TaTcNF2 (PBE-GGA).

a = 4.174 Å, b = 4.174 Å, c = 3.868 Å
α = 90.00°, β = 90.00°, γ = 90.00°
Space group P4/mmm (No. 123)
Inequivalent atoms, fractional coordinates:
Ta1 0.000 0.000 0.000 x1
Tc1 0.500 0.500 0.500 x1
N1 0.500 0.500 0.000 x1
F1 0.000 0.500 0.500 x2

Output
For the total magnetization, the calculation gives 0.52 μB/atom.

ii:
Entry from Alexandria: an optimized crystal structure of TaTcNF2 (PBE-GGA).

a = 4.164 Å, b = 4.164 Å, c = 4.063 Å
α = 90.00°, β = 90.00°, γ = 90.00°
Space group P4/mmm (No. 123)
Inequivalent atoms, fractional coordinates:
Ta1 0.000 0.000 0.000 x1
Tc1 0.500 0.500 0.500 x1
N1 0.000 0.000 0.500 x1
F1 0.000 0.500 0.000 x2

Output
For the total magnetization, the calculation gives 0.66 μB/atom.

Result of the stability comparison: ii is the most stable of them.

i:
Entry from Alexandria: an optimized crystal structure of TaTlN2F (PBE-GGA).

a = 4.275 Å, b = 4.275 Å, c = 4.168 Å
α = 90.00°, β = 90.00°, γ = 90.00°
Space group P4/mmm (No. 123)
Inequivalent atoms, fractional coordinates:
Ta1 0.000 0.000 0.000 x1
Tl1 0.500 0.500 0.500 x1
N1 0.000 0.500 0.500 x2
F1 0.500 0.500 0.000 x1

Output
For the total magnetization, the calculation gives 0.30 μB/atom.

ii:
Entry from Alexandria: an optimized crystal structure of TaTlN2F (PBE-GGA).

a = 4.119 Å, b = 4.119 Å, c = 4.268 Å
α = 90.00°, β = 90.00°, γ = 90.00°
Space group P4/mmm (No. 123)
Inequivalent atoms, fractional coordinates:
Ta1 0.000 0.000 0.000 x1
Tl1 0.500 0.500 0.500 x1
N1 0.000 0.500 0.000 x2
F1 0.000 0.000 0.500 x1

Output
For the total magnetization, the calculation gives 0.00 μB/atom.

Result of the stability comparison: ii is the most stable of them.